(1)
Computed, not measured: a geometry-optimized As4PtBr structure at the PBE level of DFT.

Summary:
N(E_F) = 5.74 states/eV/f.u.
E_form (uncorrected) = 649.4 meV/atom
electronic total energy = -22.42 eV per cell

abc: 5.6881 5.6881 5.6881
angles: 60.00 60.00 60.00
Element x y z (fractional)
Br: 0.7500 0.7500 0.7500
Pt: 0.0000 0.0000 0.0000
As: 0.3874 0.3874 0.3874
As: 0.3874 0.8377 0.3874
As: 0.3874 0.3874 0.8377
As: 0.8377 0.3874 0.3874

(2)
Computed, not measured: a geometry-optimized AsPtBr2 structure at the PBE level of DFT.

Summary:
N(E_F) = 2.71 states/eV/f.u.
ΔE to the lowest computed polymorph = 2.04 eV per formula unit
E_form (uncorrected) = 174.8 meV/atom
electronic total energy = -13.34 eV per cell

abc: 8.1237 8.1237 8.1237
angles: 152.99 154.57 37.43
Element x y z (fractional)
Br: 0.4011 0.4011 0.0000
Br: 0.0989 0.0989 0.0000
As: 0.7500 0.2500 0.5000
Pt: 0.2500 0.7500 0.5000

(3)
Computed, not measured: a geometry-optimized As2PtBr structure at the PBE level of DFT.

Summary:
N(E_F) = 1.54 states/eV/f.u.
ΔE to the lowest computed polymorph = 0.14 eV per formula unit
E_form (uncorrected) = -260.9 meV/atom
electronic total energy = -18.06 eV per cell

abc: 3.9793 3.9793 7.2854
angles: 92.58 92.58 58.59
Element x y z (fractional)
Pt: 0.3024 0.3024 0.9884
Br: 0.5915 0.5915 0.5104
As: 0.9838 0.9838 0.1543
As: 0.6223 0.6223 0.8468

(4)
Computed, not measured: a geometry-optimized AsPtBr2 structure at the PBE level of DFT.

Summary:
N(E_F) = 3.60 states/eV/f.u.
ΔE to the lowest computed polymorph = 0.37 eV per formula unit
E_form (uncorrected) = -241.3 meV/atom
electronic total energy = -15.00 eV per cell

abc: 8.7884 8.7884 8.7884
angles: 24.48 24.48 24.48
Element x y z (fractional)
As: 0.7704 0.7704 0.7704
Br: 0.0255 0.0255 0.0255
Pt: 0.4866 0.4866 0.4866
Br: 0.2175 0.2175 0.2175

(5)
Computed, not measured: a geometry-optimized AsPtBr2 structure at the PBE level of DFT.

Summary:
N(E_F) = 2.58 states/eV/f.u.
ΔE to the lowest computed polymorph = 1.88 eV per formula unit
E_form (uncorrected) = 135.8 meV/atom
electronic total energy = -13.49 eV per cell

abc: 3.2012 3.2012 9.6711
angles: 90.00 90.00 90.00
Element x y z (fractional)
Br: 0.0000 0.0000 0.9440
Br: 0.5000 0.5000 0.3378
Pt: 0.0000 0.0000 0.5406
As: 0.5000 0.5000 0.6776

(6)
Computed, not measured: a geometry-optimized AsPtBr2 structure at the PBE level of DFT.

Summary:
N(E_F) = 3.05 states/eV/f.u.
ΔE to the lowest computed polymorph = 3.27 eV per formula unit
E_form (uncorrected) = 483.9 meV/atom
electronic total energy = -12.10 eV per cell

abc: 8.7433 8.7433 8.7433
angles: 24.54 24.54 24.54
Element x y z (fractional)
Pt: 0.5000 0.5000 0.5000
Br: 0.8974 0.8974 0.8974
Br: 0.1026 0.1026 0.1026
As: 0.0000 0.0000 0.0000

(7)
Computed, not measured: a geometry-optimized AsPtBr2 structure at the PBE level of DFT.

Summary:
N(E_F) = 1.63 states/eV/f.u.
ΔE to the lowest computed polymorph = 1.51 eV per formula unit
E_form (uncorrected) = 42.5 meV/atom
electronic total energy = -13.87 eV per cell

abc: 4.1528 4.1528 9.3190
angles: 90.00 90.00 128.75
Element x y z (fractional)
As: 0.5000 0.5000 0.6956
Pt: 0.0000 0.0000 0.5328
Br: 0.0000 0.0000 0.9362
Br: 0.5000 0.5000 0.3355

(8)
Computed, not measured: a geometry-optimized AsPtBr2 structure at the PBE level of DFT.

Summary:
N(E_F) = 4.03 states/eV/f.u.
ΔE to the lowest computed polymorph = 3.92 eV per formula unit
E_form (uncorrected) = 644.9 meV/atom
electronic total energy = -11.46 eV per cell

abc: 4.8707 4.8708 4.8707
angles: 119.99 119.99 90.01
Element x y z (fractional)
Pt: 0.5000 0.5000 0.0000
As: 0.7500 0.2500 0.5000
Br: 0.2500 0.7500 0.5000
Br: 0.0000 0.0000 0.0000

(9)
Computed, not measured: a geometry-optimized As2PtBr structure at the PBE level of DFT.

Summary:
N(E_F) = 2.17 states/eV/f.u.
ΔE to the lowest computed polymorph = 1.97 eV per formula unit
E_form (uncorrected) = 196.7 meV/atom
electronic total energy = -16.23 eV per cell

abc: 3.4887 3.4887 7.2757
angles: 90.00 90.00 90.00
Element x y z (fractional)
As: 0.5000 0.5000 0.1634
Br: 0.0000 0.0000 0.5512
As: 0.0000 0.0000 0.9680
Pt: 0.5000 0.5000 0.8174

(10)
Computed, not measured: a geometry-optimized AsPtBr2 structure at the PBE level of DFT.

Summary:
N(E_F) = 0.87 states/eV/f.u.
ΔE to the lowest computed polymorph = 0.49 eV per formula unit
E_form (uncorrected) = -212.8 meV/atom
electronic total energy = -14.89 eV per cell

abc: 8.8380 8.8380 8.8380
angles: 155.69 150.24 38.79
Element x y z (fractional)
Pt: 0.4632 0.4632 0.0000
Br: 0.3575 0.8575 0.5000
Br: 0.1281 0.1281 0.0000
As: 0.5512 0.0512 0.5000

(11)
Computed, not measured: a geometry-optimized As2PtBr structure at the PBE level of DFT.

Summary:
N(E_F) = 3.61 states/eV/f.u.
ΔE to the lowest computed polymorph = 3.18 eV per formula unit
E_form (uncorrected) = 497.7 meV/atom
electronic total energy = -15.02 eV per cell

abc: 5.0027 5.0027 3.0233
angles: 90.00 90.00 90.00
Element x y z (fractional)
Br: 0.5000 0.0000 0.5000
Pt: 0.0000 0.5000 0.5000
As: 0.5000 0.5000 0.0000
As: 0.0000 0.0000 0.0000

(12)
Computed, not measured: a geometry-optimized As2PtBr structure at the PBE level of DFT.

Summary:
N(E_F) = 4.15 states/eV/f.u.
ΔE to the lowest computed polymorph = 2.39 eV per formula unit
E_form (uncorrected) = 302.3 meV/atom
electronic total energy = -15.80 eV per cell

abc: 6.2465 6.2465 6.2465
angles: 153.39 128.62 58.79
Element x y z (fractional)
Pt: 0.2500 0.7500 0.5000
As: 0.0528 0.0528 0.0000
Br: 0.7500 0.2500 0.5000
As: 0.4472 0.4472 0.0000